[1]
Sm2SnS | PBE | relaxed

Summary:
Space-group type: No. 63
Distance to the lowest polymorph of the same formula (meV per atom): 0
Energy relative to the elements, uncorrected (eV/atom): -1.345
DOS(E_F) (states/eV/atom): 0.407

Cell lengths 11.695, 11.695, 4.277 Å; angles 90.00, 90.00, 159.04 degrees
Positions (direct):
Sm (0.072, 0.928, 0.750)
Sm (0.311, 0.689, 0.750)
Sm (0.689, 0.311, 0.250)
Sm (0.928, 0.072, 0.250)
Sn (0.453, 0.547, 0.750)
Sn (0.547, 0.453, 0.250)
S (0.191, 0.809, 0.750)
S (0.809, 0.191, 0.250)

[2]
SmSn2S4 | PBE | relaxed

Summary:
Space-group type: No. 63
Energy relative to the elements, uncorrected (eV/atom): -0.924
DOS(E_F) (states/eV/atom): 0.485

Cell lengths 6.890, 6.890, 13.322 Å; angles 90.00, 90.00, 147.38 degrees
Positions (direct):
Sm (0.115, 0.885, 0.750)
Sm (0.885, 0.115, 0.250)
Sn (0.369, 0.631, 0.567)
Sn (0.369, 0.631, 0.933)
Sn (0.631, 0.369, 0.067)
Sn (0.631, 0.369, 0.433)
S (0.000, 0.000, 0.000)
S (0.000, 0.000, 0.500)
S (0.283, 0.717, 0.124)
S (0.283, 0.717, 0.376)
S (0.465, 0.535, 0.750)
S (0.535, 0.465, 0.250)
S (0.717, 0.283, 0.624)
S (0.717, 0.283, 0.876)

Number 1: size of the total moment 0.0 μB per formula unit. Number 2: size of the total moment 0.0 μB per formula unit.